No. 1
Entry from the Alexandria database: a relaxed structure of ZrCo2Ru2 (GGA-PBE).

The value obtained for the total energy is -8.27 eV/atom. The size of the total moment is 2.227 μB/f.u. The value obtained for the density is 9.67 g cm⁻³. Its density of states at the Fermi level is 1.1740 states/eV per atom. For the energy relative to the elements, the calculation gives -0.004 eV per atom. The energy above the most stable polymorph in this dataset is 0 meV per atom.

The structure belongs to space group P4/mbm (No. 127); the cell edges are 7.163, 7.163 and 2.753 Å and the angles 90.00°, 90.00° and 90.00°. The asymmetric unit holds Zr at (0.000, 0.000, 0.000), Co at (0.119, 0.381, 0.000) and Ru at (0.174, 0.674, 0.500).

No. 2
Entry from the Alexandria database: a relaxed structure of Zr2CoRu (GGA-PBE).

The value obtained for the total energy is -7.84 eV/atom. The size of the total moment is 0.448 μB/f.u. The value obtained for the density is 7.97 g cm⁻³. Its density of states at the Fermi level is 0.9155 states/eV per atom. For the energy relative to the elements, the calculation gives 0.530 eV per atom.

The structure belongs to space group Immm (No. 71); the cell edges are 2.904, 4.975 and 9.873 Å and the angles 90.00°, 90.00° and 90.00°. The asymmetric unit holds Zr at (0.000, 0.000, 0.242), Co at (0.000, 0.000, 0.000) and Ru at (0.000, 0.000, 0.500).

No. 3
Entry from the Alexandria database: a relaxed structure of ZrCo3Ru (GGA-PBE).

The value obtained for the total energy is -6.87 eV/atom. The size of the total moment is 4.032 μB/f.u. The value obtained for the density is 7.12 g cm⁻³. Its density of states at the Fermi level is 1.3926 states/eV per atom. For the energy relative to the elements, the calculation gives 0.960 eV per atom. The energy above the most stable polymorph in this dataset is 0 meV per atom.

The structure belongs to space group Pm-3m (No. 221); the cell edges are 4.416, 4.416 and 4.416 Å and the angles 90.00°, 90.00° and 90.00°. The asymmetric unit holds Zr at (0.000, 0.000, 0.000), Co at (0.000, 0.500, 0.500) and Ru at (0.500, 0.500, 0.500).

No. 4
Entry from the Alexandria database: a relaxed structure of ZrCo2Ru2 (GGA-PBE).

The value obtained for the total energy is -8.21 eV/atom. The size of the total moment is 2.239 μB/f.u. The value obtained for the density is 9.58 g cm⁻³. Its density of states at the Fermi level is 1.3934 states/eV per atom. For the energy relative to the elements, the calculation gives 0.048 eV per atom. The energy above the most stable polymorph in this dataset is 52 meV per atom.

The structure belongs to space group P4/mbm (No. 127); the cell edges are 7.218, 7.218 and 2.738 Å and the angles 90.00°, 90.00° and 90.00°. The asymmetric unit holds Zr at (0.000, 0.000, 0.000), Co at (0.171, 0.329, 0.500) and Ru at (0.126, 0.626, 0.000).

No. 5
Entry from the Alexandria database: a relaxed structure of ZrCo2Ru2 (GGA-PBE).

The value obtained for the total energy is -8.15 eV/atom. The size of the total moment is 1.860 μB/f.u. The value obtained for the density is 8.87 g cm⁻³. Its density of states at the Fermi level is 1.1674 states/eV per atom. For the energy relative to the elements, the calculation gives 0.108 eV per atom. The energy above the most stable polymorph in this dataset is 112 meV per atom.

The structure belongs to space group I4/mmm (No. 139); the cell edges are 3.851, 3.851 and 10.380 Å and the angles 90.00°, 90.00° and 90.00°. The asymmetric unit holds Zr at (0.000, 0.000, 0.000), Co at (0.000, 0.500, 0.250) and Ru at (0.000, 0.000, 0.390).

No. 6
Entry from the Alexandria database: a relaxed structure of ZrCoRu4 (GGA-PBE).

The value obtained for the total energy is -8.64 eV/atom. The size of the total moment is 3.606 μB/f.u. The value obtained for the density is 9.74 g cm⁻³. Its density of states at the Fermi level is 1.3135 states/eV per atom. For the energy relative to the elements, the calculation gives 0.155 eV per atom.

The structure belongs to space group F-43m (No. 216); the cell edges are 7.232, 7.232 and 7.232 Å and the angles 90.00°, 90.00° and 90.00°. The asymmetric unit holds Zr at (0.000, 0.000, 0.000), Co at (0.250, 0.250, 0.750) and Ru at (0.124, 0.124, 0.376).